# 1
This record from the Alexandria database describes an optimized crystal structure of Sb4Pd15Pb. The functional is PBE-GGA.

abc: 4.087 4.087 20.156
angles: 90.00 90.00 90.00
Positions (direct):
Sb1 0.000 0.000 0.099
Sb2 0.000 0.000 0.299
Sb3 0.000 0.000 0.701
Sb4 0.000 0.000 0.901
Pd1 0.000 0.500 0.000
Pd2 0.000 0.500 0.199
Pd3 0.000 0.500 0.396
Pd4 0.000 0.500 0.604
Pd5 0.000 0.500 0.801
Pd6 0.500 0.000 0.000
Pd7 0.500 0.000 0.199
Pd8 0.500 0.000 0.396
Pd9 0.500 0.000 0.604
Pd10 0.500 0.000 0.801
Pd11 0.500 0.500 0.100
Pd12 0.500 0.500 0.297
Pd13 0.500 0.500 0.500
Pd14 0.500 0.500 0.703
Pd15 0.500 0.500 0.900
Pb1 0.000 0.000 0.500

Results
ρ	11.3	g/cm³
V	16.83	Å³ per atom
energy relative to the elements, uncorrected	-0.3474	eV per atom
total moment	0.0	μB/cell

=====

# 2
This record from the Alexandria database describes an optimized crystal structure of YInFe2Re. The functional is PBE-GGA.

abc: 4.531 4.531 5.072
angles: 90.00 90.00 90.00
Positions (direct):
Y1 0.000 0.000 0.000
In1 0.500 0.500 0.000
Fe1 0.000 0.500 0.500
Fe2 0.500 0.000 0.500
Re1 0.500 0.500 0.500

Results
energy of formation from the pure elements	0.861	eV per atom
ρ	8.0	g/cm³
V	20.82	Å³ per atom
total moment	0.0	μB/cell

=====

# 3
This record from the Alexandria database describes an optimized crystal structure of La3Ga2Au9. The functional is PBE-GGA.

abc: 8.729 8.729 8.729
angles: 150.33 106.23 81.47
Positions (direct):
La1 0.000 0.000 0.000
La2 0.303 0.303 0.000
La3 0.697 0.697 0.000
Ga1 0.299 0.500 0.799
Ga2 0.701 0.500 0.201
Au1 0.025 0.656 0.369
Au2 0.158 0.870 0.288
Au3 0.287 0.656 0.631
Au4 0.418 0.130 0.288
Au5 0.500 0.000 0.500
Au6 0.582 0.870 0.712
Au7 0.713 0.344 0.369
Au8 0.842 0.130 0.712
Au9 0.975 0.344 0.631

Results
energy of formation from the pure elements	-0.616	eV per atom
ρ	12.5	g/cm³
V	22.13	Å³ per atom
total moment	0.0	μB/cell

=====

# 4
This record from the Alexandria database describes an optimized crystal structure of BaLi2Ni2. The functional is PBE-GGA.

abc: 7.695 7.695 3.033
angles: 90.00 90.00 90.00
Positions (direct):
Ba1 0.000 0.000 0.000
Ba2 0.500 0.500 0.000
Li1 0.122 0.378 0.500
Li2 0.378 0.878 0.500
Li3 0.622 0.122 0.500
Li4 0.878 0.622 0.500
Ni1 0.161 0.661 0.000
Ni2 0.339 0.161 0.000
Ni3 0.661 0.839 0.000
Ni4 0.839 0.339 0.000

Results
energy of formation from the pure elements	0.264	eV per atom
ρ	5.0	g/cm³
V	17.96	Å³ per atom
total moment	0.0	μB/cell

=====

# 5
This record from the Alexandria database describes an optimized crystal structure of La3VZn. The functional is PBE-GGA.

abc: 5.383 5.383 5.383
angles: 90.00 90.00 90.00
Positions (direct):
La1 0.000 0.000 0.500
La2 0.000 0.500 0.000
La3 0.500 0.000 0.000
V1 0.000 0.000 0.000
Zn1 0.500 0.500 0.500

Results
energy of formation from the pure elements	0.354	eV per atom
ρ	5.7	g/cm³
V	31.19	Å³ per atom
total moment	0.5	μB/cell

=====

# 6
This record from the Alexandria database describes an optimized crystal structure of CePrCd17. The functional is PBE-GGA.

abc: 7.678 7.678 7.678
angles: 82.27 82.27 82.27
Positions (direct):
Ce1 0.000 0.000 0.000
Pr1 0.664 0.664 0.664
Cd1 0.033 0.333 0.633
Cd2 0.033 0.633 0.333
Cd3 0.179 0.689 0.689
Cd4 0.233 0.233 0.233
Cd5 0.328 0.328 0.838
Cd6 0.328 0.838 0.328
Cd7 0.333 0.033 0.633
Cd8 0.333 0.633 0.033
Cd9 0.435 0.435 0.435
Cd10 0.502 0.971 0.971
Cd11 0.633 0.033 0.333
Cd12 0.633 0.333 0.033
Cd13 0.689 0.179 0.689
Cd14 0.689 0.689 0.179
Cd15 0.838 0.328 0.328
Cd16 0.971 0.502 0.971
Cd17 0.971 0.971 0.502

Results
energy of formation from the pure elements	-0.142	eV per atom
ρ	8.2	g/cm³
V	23.22	Å³ per atom
total moment	1.1	μB/cell

=====

# 7
This record from the Alexandria database describes an optimized crystal structure of BeFeSe. The functional is PBE-GGA.

abc: 4.273 4.273 4.273
angles: 136.95 136.95 62.52
Positions (direct):
Be1 0.000 0.000 0.000
Fe1 0.341 0.341 0.000
Se1 0.670 0.670 0.000

Results
ρ	6.6	g/cm³
V	11.98	Å³ per atom
energy relative to the elements, uncorrected	0.1270	eV per atom
total moment	1.7	μB/cell

=====

# 8
This record from the Alexandria database describes an optimized crystal structure of Na2Be2GaPt5. The functional is PBE-GGA.

abc: 9.561 9.561 3.239
angles: 90.00 90.00 90.00
Positions (direct):
Na1 0.176 0.324 0.000
Na2 0.324 0.824 0.000
Na3 0.676 0.176 0.000
Na4 0.824 0.676 0.000
Be1 0.125 0.625 0.000
Be2 0.375 0.125 0.000
Be3 0.625 0.875 0.000
Be4 0.875 0.375 0.000
Ga1 0.000 0.000 0.000
Ga2 0.500 0.500 0.000
Pt1 0.000 0.500 0.500
Pt2 0.067 0.789 0.500
Pt3 0.211 0.067 0.500
Pt4 0.289 0.567 0.500
Pt5 0.433 0.289 0.500
Pt6 0.500 0.000 0.500
Pt7 0.567 0.711 0.500
Pt8 0.711 0.433 0.500
Pt9 0.789 0.933 0.500
Pt10 0.933 0.211 0.500

Results
energy of formation from the pure elements	-0.527	eV per atom
ρ	12.4	g/cm³
V	14.80	Å³ per atom
total moment	0.0	μB/cell

=====

# 9
This record from the Alexandria database describes an optimized crystal structure of Na2FeH5. The functional is PBE-GGA.

abc: 6.317 4.827 9.893
angles: 90.00 90.00 90.00
Positions (direct):
Na1 0.011 0.250 0.217
Na2 0.156 0.750 0.422
Na3 0.344 0.250 0.922
Na4 0.489 0.750 0.717
Na5 0.511 0.250 0.283
Na6 0.656 0.750 0.078
Na7 0.844 0.250 0.578
Na8 0.989 0.750 0.783
Fe1 0.151 0.750 0.055
Fe2 0.349 0.250 0.555
Fe3 0.651 0.750 0.445
Fe4 0.849 0.250 0.945
H1 0.000 0.000 0.000
H2 0.000 0.500 0.000
H3 0.043 0.750 0.198
H4 0.192 0.250 0.425
H5 0.199 0.032 0.620
H6 0.199 0.468 0.620
H7 0.301 0.532 0.120
H8 0.301 0.968 0.120
H9 0.308 0.750 0.925
H10 0.457 0.250 0.698
H11 0.500 0.000 0.500
H12 0.500 0.500 0.500
H13 0.543 0.750 0.302
H14 0.692 0.250 0.075
H15 0.699 0.032 0.880
H16 0.699 0.468 0.880
H17 0.801 0.532 0.380
H18 0.801 0.968 0.380
H19 0.808 0.750 0.575
H20 0.957 0.250 0.802

Results
ρ	2.4	g/cm³
V	9.43	Å³ per atom
total DFT energy (no corrections)	-3.56	eV/atom
total moment	4.0	μB/cell

=====

# 10
This record from the Alexandria database describes an optimized crystal structure of CaPuPb. The functional is PBE-GGA.

abc: 7.699 7.699 7.699
angles: 153.02 153.02 38.52
Positions (direct):
Ca1 0.000 0.000 0.000
Pu1 0.697 0.697 0.000
Pb1 0.347 0.347 0.000

Results
energy of formation from the pure elements	-0.081	eV per atom
ρ	8.7	g/cm³
V	31.25	Å³ per atom
total moment	6.4	μB/cell

=====

> Which formula does entry 4 have?

BaLi2Ni2

=====

> Among the records above, which one has the highest ρ?

La3Ga2Au9

=====

> Among the records above, which one has the highest V?

CaPuPb

=====

> What is the formula in the sixth record?

CePrCd17